No. 1
First-principles (PBE) data for an optimized crystal structure of TbCeZnCo, as listed in Alexandria.

Cell: 4.924 4.924 4.924 Å, 60.00 60.00 60.00°
Fractional coordinates of all 4 atoms:
1 Tb 0.000 0.000 0.000
2 Ce 0.500 0.500 0.500
3 Zn 0.250 0.250 0.250
4 Co 0.750 0.750 0.750

Calculated formation energy ... -0.143 eV per atom
V ... 21.11 Å³ per atom
E_tot ... -4.88 eV/atom
Size of the total moment ... 0.01 μB per cell

---

No. 2
First-principles (PBE) data for an optimized crystal structure of Te3Pt2S, as listed in Alexandria.

Cell: 8.706 8.706 13.453 Å, 127.45 127.45 25.95°
Fractional coordinates of all 12 atoms:
1 Te 0.118 0.118 0.191
2 Te 0.351 0.351 0.526
3 Te 0.360 0.360 0.057
4 Te 0.640 0.640 0.943
5 Te 0.649 0.649 0.474
6 Te 0.882 0.882 0.809
7 Pt 0.234 0.234 0.115
8 Pt 0.266 0.266 0.641
9 Pt 0.734 0.734 0.359
10 Pt 0.766 0.766 0.885
11 S 0.184 0.184 0.738
12 S 0.816 0.816 0.262

Formation energy without anion corrections ... -0.3442 eV/atom
V ... 29.05 Å³ per atom
E_tot ... -4.62 eV/atom
Size of the total moment ... 0.00 μB per cell